No. 1
Material: YHgS2
Method: DFT, PBE
State: relaxed

a b c (Å): 6.4154 6.4154 7.6552
angles (deg): 65.23 65.23 90.00
Sites, in units of the cell vectors:
1 S 0.1589 0.6250 0.2500
2 S 0.8750 0.8411 0.7500
3 Hg 0.0000 0.0000 0.0000
4 Y 0.2500 0.7500 0.5000
5 S 0.5911 0.1250 0.2500
6 Y 0.5000 0.5000 0.0000
7 Hg 0.7500 0.2500 0.5000
8 S 0.3750 0.4089 0.7500

The value obtained for the energy is -0.3464 Ry per atom. Its total magnetization is 0.00 μB/f.u. Its density of states at the Fermi level is 9.1 states/eV per cell.

***

No. 2
Material: La15PrSm4
Method: DFT, PBE
State: relaxed

a b c (Å): 5.2360 5.2360 26.2850
angles (deg): 90.00 90.00 90.00
Sites, in units of the cell vectors:
1 La 0.5000 0.5000 0.6000
2 La 0.5000 0.5000 0.0000
3 Sm 0.0000 0.0000 0.2002
4 La 0.5000 0.5000 0.4000
5 La 0.0000 0.5000 0.5000
6 La 0.5000 0.0000 0.1006
7 La 0.0000 0.5000 0.3002
8 Sm 0.0000 0.0000 0.7998
9 Sm 0.0000 0.0000 0.6000
10 Pr 0.0000 0.0000 0.0000
11 La 0.5000 0.0000 0.3002
12 La 0.5000 0.5000 0.7997
13 La 0.0000 0.5000 0.1006
14 La 0.5000 0.0000 0.5000
15 Sm 0.0000 0.0000 0.4000
16 La 0.5000 0.5000 0.2003
17 La 0.0000 0.5000 0.6998
18 La 0.5000 0.0000 0.8994
19 La 0.0000 0.5000 0.8994
20 La 0.5000 0.0000 0.6998

Its total magnetization is 0.00 μB/f.u. The value obtained for the formation energy is 1.1 kJ per mole of atoms. Its density of states at the Fermi level is 35.1 states/eV per cell.

***

No. 3
Material: SrCa2Cr
Method: DFT, PBE
State: relaxed

a b c (Å): 7.0203 7.0203 6.0668
angles (deg): 64.26 64.26 33.66
Site moments in Bohr magnetons follow the coordinates.
Sites, in units of the cell vectors:
1 Cr 0.7500 0.7500 0.7500  3.96
2 Sr 0.2500 0.2500 0.2500  0.01
3 Ca 0.4595 0.4595 0.5405  0.01
4 Ca 0.0405 0.0405 0.9595  0.01

Its total magnetization is 4.76 μB/f.u. The value obtained for the formation energy is 37.0 kJ per mole of atoms. The relative energy among the computed polymorphs comes out at 19 meV/atom. Its density of states at the Fermi level is 3.8 states/eV per cell.

***

No. 4
Material: EuAl3Pd2
Method: DFT, PBE
State: relaxed

a b c (Å): 4.1611 5.5696 5.5696
angles (deg): 60.00 90.00 90.00
Site moments in Bohr magnetons follow the coordinates.
Sites, in units of the cell vectors:
1 Pd 0.0000 0.6667 0.6667  -0.01
2 Al 0.5000 0.5000 0.5000  -0.01
3 Pd 0.0000 0.3333 0.3333  -0.01
4 Al 0.5000 0.0000 0.5000  0.00
5 Eu 0.0000 0.0000 0.0000  6.73
6 Al 0.5000 0.5000 0.0000  -0.01

Its total magnetization is 6.96 μB/f.u. The value obtained for the formation energy is -72.1 kJ per mole of atoms. Its density of states at the Fermi level is 4.3 states/eV per cell.

***

No. 5
Material: Na2ZnTe
Method: DFT, PBE
State: relaxed

a b c (Å): 5.3407 5.3407 5.3407
angles (deg): 60.00 60.00 60.00
Sites, in units of the cell vectors:
1 Zn 0.0000 0.0000 0.0000
2 Na 0.2500 0.2500 0.2500
3 Na 0.7500 0.7500 0.7500
4 Te 0.5000 0.5000 0.5000

Its total magnetization is 0.00 μB/f.u. The relative energy among the computed polymorphs comes out at 0 meV/atom. Its density of states at the Fermi level is 0.0 states/eV per cell.

***

No. 6
Material: CrPt2Se
Method: DFT, PBE
State: relaxed

a b c (Å): 3.3801 3.3879 5.6978
angles (deg): 90.00 90.00 90.00
Site moments in Bohr magnetons follow the coordinates.
Sites, in units of the cell vectors:
1 Cr 0.5000 0.5000 0.7584  2.87
2 Se 0.0000 0.0000 0.5331  -0.15
3 Pt 0.5000 0.5000 0.2257  -0.18
4 Pt 0.0000 0.0000 0.9828  -0.05

The value obtained for the energy is -0.4576 Ry per atom. Its total magnetization is 2.68 μB/f.u. Its density of states at the Fermi level is 4.4 states/eV per cell.